[1]
# AcTb5Er6

AcTb5Er6 after structural relaxation (GGA-PBE, Alexandria).

## Properties
The volume is 31.947 Å³/atom. As for the density of states at the Fermi level: 16.397 states/eV per cell. Its total magnetization is 0.000 μB/f.u. Its formation energy is 17 meV per atom. For the density, the calculation gives 8.77 g/cm3.

Cell lengths 6.200, 6.197, 13.089 Å; angles 76.27, 61.69, 59.98 degrees
Fractional coordinates of all 12 atoms:
1 Ac 0.000 0.000 0.000
2 Tb 0.167 0.666 0.500
3 Tb 0.333 0.333 0.000
4 Tb 0.500 0.000 0.500
5 Tb 0.667 0.667 0.000
6 Tb 0.833 0.334 0.500
7 Er 0.748 0.335 0.254
8 Er 0.917 0.335 0.746
9 Er 0.587 0.000 0.746
10 Er 0.413 0.000 0.254
11 Er 0.083 0.665 0.254
12 Er 0.252 0.665 0.746

***

[2]
# LaErInAu

LaErInAu after structural relaxation (GGA-PBE, Alexandria).

## Properties
The volume is 27.106 Å³/atom. As for the density of states at the Fermi level: 3.660 states/eV per cell. Its total magnetization is 0.000 μB/f.u. Its formation energy is -581 meV per atom. For the density, the calculation gives 9.46 g/cm3.

Cell lengths 5.352, 5.352, 5.352 Å; angles 60.00, 60.00, 60.00 degrees
Fractional coordinates of all 4 atoms:
1 In 0.500 0.500 0.500
2 La 0.750 0.750 0.750
3 Au 0.000 0.000 0.000
4 Er 0.250 0.250 0.250

***

[3]
# Hf4ZnTc3

Hf4ZnTc3 after structural relaxation (GGA-PBE, Alexandria).

## Properties
The volume is 17.738 Å³/atom. As for the density of states at the Fermi level: 7.171 states/eV per cell. Its total magnetization is 0.000 μB/f.u. Its formation energy is -452 meV per atom. For the density, the calculation gives 12.56 g/cm3.

Cell lengths 3.302, 3.302, 13.012 Å; angles 90.00, 90.00, 90.00 degrees
Fractional coordinates of all 8 atoms:
1 Zn 0.500 0.500 0.000
2 Hf 0.000 0.000 0.866
3 Hf 0.000 0.000 0.134
4 Hf 0.000 0.000 0.377
5 Hf 0.000 0.000 0.623
6 Tc 0.500 0.500 0.246
7 Tc 0.500 0.500 0.500
8 Tc 0.500 0.500 0.754

***

[4]
# YTlMo2

YTlMo2 after structural relaxation (GGA-PBE, Alexandria).

## Properties
The volume is 20.478 Å³/atom. As for the density of states at the Fermi level: 4.244 states/eV per cell. Its polymorph energy (0 for the lowest one) is 603 meV per atom. Its total magnetization is 0.000 μB/f.u. Its formation energy is 751 meV per atom. For the density, the calculation gives 9.84 g/cm3.

Cell lengths 2.930, 2.930, 9.541 Å; angles 90.00, 90.00, 90.00 degrees
Fractional coordinates of all 4 atoms:
1 Mo 0.000 0.000 0.010
2 Mo 0.000 0.000 0.490
3 Tl 0.500 0.500 0.250
4 Y 0.500 0.500 0.750

***

[5]
# Nd9Sm2Tl

Nd9Sm2Tl after structural relaxation (GGA-PBE, Alexandria).

## Properties
The volume is 33.686 Å³/atom. As for the density of states at the Fermi level: 16.216 states/eV per cell. Its total magnetization is 0.000 μB/f.u. Its formation energy is -47 meV per atom. For the density, the calculation gives 7.41 g/cm3.

Cell lengths 5.084, 5.084, 15.637 Å; angles 90.00, 90.00, 90.00 degrees
Fractional coordinates of all 12 atoms:
1 Nd 0.500 0.500 0.000
2 Nd 0.500 0.500 0.330
3 Nd 0.500 0.500 0.670
4 Nd 0.500 0.000 0.161
5 Nd 0.500 0.000 0.500
6 Nd 0.500 0.000 0.839
7 Nd 0.000 0.500 0.161
8 Nd 0.000 0.500 0.500
9 Nd 0.000 0.500 0.839
10 Sm 0.000 0.000 0.331
11 Sm 0.000 0.000 0.669
12 Tl 0.000 0.000 0.000

***

[6]
# ScTcTe2

ScTcTe2 after structural relaxation (GGA-PBE, Alexandria).

## Properties
The volume is 20.491 Å³/atom. As for the density of states at the Fermi level: 5.683 states/eV per cell. Its polymorph energy (0 for the lowest one) is 264 meV per atom. Its total magnetization is 0.003 μB/f.u. The calculation puts the formation energy from raw total energies at -0.1271 eV/atom. For the density, the calculation gives 8.07 g/cm3.

Cell lengths 3.406, 3.406, 7.064 Å; angles 90.00, 90.00, 90.00 degrees
Fractional coordinates of all 4 atoms:
1 Sc 0.500 0.500 0.250
2 Tc 0.500 0.500 0.750
3 Te 0.000 0.000 0.984
4 Te 0.000 0.000 0.516

***

[7]
# Li2CrCo

Li2CrCo after structural relaxation (GGA-PBE, Alexandria).

## Properties
The volume is 12.463 Å³/atom. As for the density of states at the Fermi level: 3.260 states/eV per cell. Its polymorph energy (0 for the lowest one) is 51 meV per atom. Its total magnetization is 1.249 μB/f.u. Its formation energy is 310 meV per atom. For the density, the calculation gives 4.16 g/cm3.

Cell lengths 3.903, 2.403, 5.410 Å; angles 79.22, 90.00, 90.00 degrees
Fractional coordinates of all 4 atoms:
1 Co 0.000 0.465 0.543
2 Cr 0.500 0.762 0.701
3 Li 0.000 0.989 0.011
4 Li 0.500 0.284 0.245

***

[8]
# Tb5Nd3Th

Tb5Nd3Th after structural relaxation (GGA-PBE, Alexandria).

## Properties
The volume is 33.450 Å³/atom. As for the density of states at the Fermi level: 23.353 states/eV per cell. Its total magnetization is 0.000 μB/f.u. Its formation energy is 284 meV per atom. For the density, the calculation gives 8.05 g/cm3.

Cell lengths 8.795, 8.795, 9.964 Å; angles 116.19, 116.19, 90.00 degrees
Fractional coordinates of all 18 atoms:
1 Tb 0.074 0.574 0.725
2 Tb 0.651 0.151 0.725
3 Tb 0.151 0.074 0.725
4 Tb 0.574 0.651 0.725
5 Tb 0.926 0.426 0.275
6 Tb 0.349 0.849 0.275
7 Tb 0.849 0.926 0.275
8 Tb 0.426 0.349 0.275
9 Tb 0.500 0.500 0.000
10 Tb 0.000 0.000 0.000
11 Nd 0.616 0.116 0.000
12 Nd 0.384 0.884 0.000
13 Nd 0.884 0.616 0.000
14 Nd 0.116 0.384 0.000
15 Nd 0.250 0.250 0.500
16 Nd 0.750 0.750 0.500
17 Th 0.750 0.250 0.500
18 Th 0.250 0.750 0.500

***

Please write out number 7 again, unchanged.
# Li2CrCo

Li2CrCo after structural relaxation (GGA-PBE, Alexandria).

## Properties
The volume is 12.463 Å³/atom. As for the density of states at the Fermi level: 3.260 states/eV per cell. Its polymorph energy (0 for the lowest one) is 51 meV per atom. Its total magnetization is 1.249 μB/f.u. Its formation energy is 310 meV per atom. For the density, the calculation gives 4.16 g/cm3.

Cell lengths 3.903, 2.403, 5.410 Å; angles 79.22, 90.00, 90.00 degrees
Fractional coordinates of all 4 atoms:
1 Co 0.000 0.465 0.543
2 Cr 0.500 0.762 0.701
3 Li 0.000 0.989 0.011
4 Li 0.500 0.284 0.245